CaWSN2 | PBE | optimized geometry

The structure in extended XYZ format:
```
5
Lattice="4.275 0.000 0.000 0.000 4.275 0.000 0.000 0.000 5.188" Properties=species:S:1:pos:R:3 pbc="T T T"
Ca 0.000 0.000 0.000
W 2.137 2.137 2.594
S 0.000 0.000 2.594
N 0.000 2.137 0.000
N 2.137 0.000 0.000
```

Output
The calculation puts the total energy at -25.78 eV per formula unit. The energy above the lowest structure with this stoichiometry is 2613 meV/atom. As for the raw formation energy: 1.99 eV per atom. As for the volume: 94.8 Å³ per cell. The space group is P4/mmm. The calculation puts the density of states at the Fermi level at 3.188 states/eV per cell.